(1)
# SmB6

Crystalline SmB6 at its relaxed geometry (PBE, Alexandria).

**Symmetry**: Im-3m (229)
**Formation energy from the elements**: -0.0562 eV per atom
**Energy relative to the lowest polymorph listed for this composition**: 393 meV per atom

Cell and atoms, written as POSCAR:
```
SmB6
1.0
-4.1421 -1.4380 0.1390
1.5776 -0.4763 -4.0656
2.4495 -2.3240 2.8006
Sm B
1 6
Direct
0.0000 0.0000 0.0000
0.2500 0.7500 0.5000
0.5000 0.7500 0.2500
0.2500 0.5000 0.7500
0.7500 0.2500 0.5000
0.5000 0.2500 0.7500
0.7500 0.5000 0.2500
```

=====

(2)
# NbSbAsCl2

Crystalline NbSbAsCl2 at its relaxed geometry (PBE, Alexandria).

**Calculated total energy**: -4.008 eV/atom
**Symmetry**: P4/mmm (123)

Cell and atoms, written as POSCAR:
```
NbSbAsCl2
1.0
-3.7851 -1.9256 2.1017
2.2858 -5.1916 -0.6401
2.1273 0.4171 4.2134
Sb Nb As Cl
1 1 1 2
Direct
0.5000 0.5000 0.5000
0.0000 0.5000 0.0000
0.0000 0.0000 0.0000
0.0000 0.0000 0.5000
0.5000 0.0000 0.0000
```

=====

(3)
# Tb2TmPaTc2

Crystalline Tb2TmPaTc2 at its relaxed geometry (PBE, Alexandria).

**Symmetry**: Ibam (72)
**Formation energy from the elements**: -0.0735 eV per atom

Cell and atoms, written as POSCAR:
```
Tb2TmPaTc2
1.0
-6.3609 -1.6426 0.5065
1.4246 -6.1218 -1.9633
3.4865 1.9860 7.3667
Tb Tm Pa Tc
4 2 2 4
Direct
0.6890 0.9369 0.3781
0.1891 0.4413 0.3781
0.8109 0.5587 0.6219
0.3110 0.0631 0.6219
0.2499 0.0000 0.0000
0.7501 0.0000 0.0000
0.7500 0.5000 0.0000
0.2500 0.5000 0.0000
0.3934 0.5985 0.7868
0.6066 0.4015 0.2132
0.1067 0.8114 0.2134
0.8933 0.1886 0.7866
```

=====

(4)
# Pm2TmHf

Crystalline Pm2TmHf at its relaxed geometry (PBE, Alexandria).

**Symmetry**: P4/mmm (123)
**Formation energy from the elements**: 0.2112 eV per atom
**Energy relative to the lowest polymorph listed for this composition**: 54 meV per atom

Cell and atoms, written as POSCAR:
```
Pm2TmHf
1.0
-2.0266 1.8082 2.9742
-3.4699 -1.3209 -1.5613
0.4956 -6.0464 4.0138
Tm Hf Pm
1 1 2
Direct
0.5000 0.5000 0.5000
0.5000 0.5000 0.0000
0.0000 0.0000 0.7741
0.0000 0.0000 0.2259
```